(1)
DFT (PBE) results for crystalline Ce3Zr5H12 at its relaxed geometry.

Results
Its uncorrected energy is -5.448 eV per atom. As for the total magnetization: 3.44 Bohr magnetons per cell.

Unit cell a=10.8683 b=10.8683 c=10.8683 alpha=109.47 beta=109.47 gamma=109.47
Site moments in Bohr magnetons follow the coordinates.
Fractional positions:
1 H 0.7160 0.1359 0.0528  0.00
2 H 0.3641 0.9472 0.7840  0.00
3 H 0.2160 0.6633 0.0802  0.00
4 H 0.5528 0.2160 0.1359  0.00
5 H 0.8367 0.9198 0.2840  0.00
6 H 0.4472 0.7840 0.8641  0.00
7 H 0.0831 0.9198 0.1359  0.00
8 H 0.5831 0.6359 0.4198  0.00
9 H 0.1359 0.7160 0.5528  0.00
10 H 0.4198 0.1359 0.5831  0.00
11 H 0.1633 0.0802 0.7160  0.00
12 H 0.2160 0.5528 0.6359  0.00
13 H 0.8367 0.9169 0.0528  0.00
14 H 0.7160 0.5802 0.1633  0.00
15 H 0.9198 0.8367 0.7840  0.00
16 H 0.9472 0.5831 0.1633  0.00
17 H 0.5831 0.9472 0.6633  0.00
18 H 0.6633 0.2160 0.5802  0.00
19 H 0.6359 0.0528 0.2160  0.00
20 H 0.9472 0.3641 0.2840  0.00
21 H 0.9198 0.0831 0.6359  0.00
22 H 0.5528 0.3367 0.9169  0.00
23 H 0.4169 0.0528 0.3367  0.00
24 H 0.5802 0.7160 0.6633  0.00
25 H 0.4198 0.2840 0.3367  0.00
26 H 0.4169 0.3641 0.5802  0.00
27 H 0.8641 0.2840 0.4472  0.00
28 H 0.6633 0.4472 0.5831  0.00
29 H 0.1633 0.0831 0.9472  0.00
30 H 0.0528 0.4169 0.8367  0.00
31 H 0.0528 0.6359 0.7160  0.00
32 H 0.3367 0.5528 0.4169  0.00
33 H 0.0802 0.9169 0.3641  0.00
34 H 0.0831 0.1633 0.4472  0.00
35 H 0.6359 0.5831 0.9198  0.00
36 H 0.7840 0.3367 0.9198  0.00
37 H 0.7840 0.4472 0.3641  0.00
38 H 0.4472 0.6633 0.0831  0.00
39 H 0.0802 0.1633 0.2160  0.00
40 H 0.1359 0.4198 0.0831  0.00
41 H 0.2840 0.8641 0.9472  0.00
42 H 0.9169 0.0802 0.8641  0.00
43 H 0.5802 0.8641 0.4169  0.00
44 H 0.9169 0.8367 0.5528  0.00
45 H 0.3641 0.4169 0.0802  0.00
46 H 0.3367 0.7840 0.4198  0.00
47 H 0.8641 0.5802 0.9169  0.00
48 H 0.2840 0.4198 0.8367  0.00
49 Ce 0.1250 0.2500 0.8750  0.22
50 Ce 0.3750 0.6250 0.2500  0.22
51 Ce 0.6250 0.2500 0.3750  0.22
52 Ce 0.7500 0.8750 0.6250  0.22
53 Ce 0.2500 0.1250 0.3750  0.22
54 Ce 0.2500 0.6250 0.8750  0.22
55 Ce 0.7500 0.3750 0.1250  0.22
56 Ce 0.3750 0.7500 0.6250  0.22
57 Ce 0.8750 0.7500 0.1250  0.22
58 Ce 0.1250 0.8750 0.7500  0.22
59 Ce 0.6250 0.3750 0.7500  0.22
60 Ce 0.8750 0.1250 0.2500  0.22
61 Zr 0.2500 0.8750 0.1250  0.03
62 Zr 0.0000 0.0000 0.0000  0.01
63 Zr 0.0000 0.5000 0.0000  0.01
64 Zr 0.6250 0.7500 0.8750  0.03
65 Zr 0.5000 0.5000 0.5000  0.01
66 Zr 0.8750 0.6250 0.7500  0.03
67 Zr 0.3750 0.2500 0.1250  0.03
68 Zr 0.1250 0.3750 0.2500  0.03
69 Zr 0.0000 0.0000 0.5000  0.01
70 Zr 0.6250 0.8750 0.2500  0.03
71 Zr 0.7500 0.1250 0.8750  0.03
72 Zr 0.1250 0.7500 0.3750  0.03
73 Zr 0.7500 0.6250 0.3750  0.03
74 Zr 0.2500 0.3750 0.6250  0.03
75 Zr 0.5000 0.5000 0.0000  0.01
76 Zr 0.0000 0.5000 0.5000  0.01
77 Zr 0.5000 0.0000 0.5000  0.01
78 Zr 0.3750 0.1250 0.7500  0.03
79 Zr 0.5000 0.0000 0.0000  0.01
80 Zr 0.8750 0.2500 0.6250  0.03

=====

(2)
DFT (PBE) results for crystalline HoTm2Th6 at its relaxed geometry.

Results
As for the total magnetization: 0.00 Bohr magnetons per cell. For the calculated formation energy, the calculation gives 0.46 eV/atom.

Unit cell a=6.9838 b=6.9838 c=8.6835 alpha=66.29 beta=66.29 gamma=60.00
Fractional positions:
1 Th 0.5738 0.0486 0.3292
2 Th 0.2838 0.2840 0.6672
3 Th 0.0486 0.0484 0.3292
4 Th 0.7650 0.2838 0.6672
5 Th 0.2840 0.7650 0.6672
6 Th 0.0484 0.5738 0.3292
7 Tm 0.5808 0.5808 0.2576
8 Tm 0.7502 0.7502 0.7495
9 Ho 0.3311 0.3311 0.0066

=====

(3)
DFT (PBE) results for crystalline UBS2 at its relaxed geometry.

Results
For the uncorrected formation energy, the calculation gives 21 kJ per mole of atoms. As for the total magnetization: 2.43 Bohr magnetons per cell.

Unit cell a=3.0366 b=3.0366 c=8.1368 alpha=79.25 beta=79.25 gamma=60.00
Site moments in Bohr magnetons follow the coordinates.
Fractional positions:
1 S 0.8840 0.8840 0.3480  0.00
2 S 0.1160 0.1160 0.6520  0.00
3 U 0.0000 0.0000 0.0000  2.17
4 B 0.5000 0.5000 0.5000  0.01

=====

(4)
DFT (PBE) results for crystalline Sr3SnTe at its relaxed geometry.

Results
For the uncorrected formation energy, the calculation gives -59 kJ per mole of atoms. As for the total magnetization: 0.00 Bohr magnetons per cell.

Unit cell a=6.1144 b=6.1144 c=6.1144 alpha=90.00 beta=90.00 gamma=90.00
Fractional positions:
1 Sr 0.0000 0.0000 0.5000
2 Sr 0.0000 0.5000 0.0000
3 Sr 0.5000 0.0000 0.0000
4 Sn 0.5000 0.5000 0.5000
5 Te 0.0000 0.0000 0.0000